[1]
{
  "formula": "Li4InPt2",
  "functional": "PBE",
  "state": "relaxed",
  "lattice": [[-4.3283, -0.2819, 3.0987], [0.4516, -0.9349, 5.3625], [1.3324, 4.7276, -2.0713]],
  "species": ["In", "Pt", "Pt", "Li", "Li", "Li", "Li"],
  "fractional_positions": [[0.0000, 0.0000, 0.0000], [0.5000, 0.2429, 0.5000], [0.5000, 0.7571, 0.5000], [0.4161, 0.3002, 0.0164], [0.9836, 0.3002, 0.5839], [0.0164, 0.6998, 0.4161], [0.5839, 0.6998, 0.9836]],
  "spacegroup": "Immm (71)",
  "e_form_ev_per_atom": -0.41,
  "rho_g_cm3": 8.1
}


[2]
{
  "formula": "DyTm7Sn2",
  "functional": "PBE",
  "state": "relaxed",
  "lattice": [[-1.0335, 2.1493, -4.8301], [-4.2777, -7.3610, -2.3601], [-4.5636, 6.5005, 3.8691]],
  "species": ["Tm", "Tm", "Tm", "Tm", "Tm", "Tm", "Tm", "Dy", "Sn", "Sn"],
  "fractional_positions": [[0.5000, 0.6956, 0.9420], [0.5000, 0.3044, 0.0580], [0.0000, 0.2269, 0.7731], [0.0000, 0.7731, 0.2269], [0.5000, 0.9420, 0.6956], [0.5000, 0.0580, 0.3044], [0.5000, 0.5000, 0.5000], [0.0000, 0.0000, 0.0000], [0.5000, 0.3044, 0.6956], [0.5000, 0.6956, 0.3044]],
  "spacegroup": "Cmmm (65)",
  "e_form_ev_per_atom": 0.19,
  "rho_g_cm3": 7.1
}


[3]
{
  "formula": "Sb2MoAuI",
  "functional": "PBE",
  "state": "relaxed",
  "lattice": [[5.3777, 0.0000, 0.0000], [0.0000, 5.3777, 0.0000], [0.0000, 0.0000, 5.5981]],
  "species": ["Au", "I", "Sb", "Sb", "Mo"],
  "fractional_positions": [[0.0000, 0.0000, 0.0000], [0.0000, 0.0000, 0.5000], [0.5000, 0.0000, 0.0000], [0.0000, 0.5000, 0.0000], [0.5000, 0.5000, 0.5000]],
  "e_above_lowest_polymorph_ev_per_atom": 0.5582,
  "formation_energy_uncorrected_ev_per_atom": 1.231,
  "spacegroup": "P4/mmm (123)",
  "rho_g_cm3": 6.8
}


[4]
{
  "formula": "CsBa3Hg",
  "functional": "PBE",
  "state": "relaxed",
  "lattice": [[6.8781, 0.0000, 0.0000], [0.0000, 6.8781, 0.0000], [0.0000, 0.0000, 6.8781]],
  "species": ["Ba", "Ba", "Ba", "Cs", "Hg"],
  "fractional_positions": [[0.0000, 0.0000, 0.5000], [0.0000, 0.5000, 0.0000], [0.5000, 0.0000, 0.0000], [0.5000, 0.5000, 0.5000], [0.0000, 0.0000, 0.0000]],
  "e_above_lowest_polymorph_ev_per_atom": 0.0000,
  "spacegroup": "Pm-3m (221)",
  "e_form_ev_per_atom": -0.12,
  "rho_g_cm3": 3.8
}


[5]
{
  "formula": "LiZrPd3",
  "functional": "PBE",
  "state": "relaxed",
  "lattice": [[-4.2546, 3.3651, 0.3630], [-1.5170, -1.0625, -7.9309], [-4.4713, -5.8296, 1.6362]],
  "species": ["Pd", "Pd", "Pd", "Pd", "Pd", "Pd", "Pd", "Pd", "Pd", "Pd", "Pd", "Pd", "Li", "Li", "Li", "Li", "Zr", "Zr", "Zr", "Zr"],
  "fractional_positions": [[0.0011, 0.3216, 0.7500], [0.7511, 0.2495, 0.4375], [0.9989, 0.6784, 0.2500], [0.2511, 0.2505, 0.0625], [0.2511, 0.2505, 0.4375], [0.4989, 0.8216, 0.2500], [0.2489, 0.7505, 0.5625], [0.5011, 0.1784, 0.7500], [0.7489, 0.7495, 0.5625], [0.7489, 0.7495, 0.9375], [0.7511, 0.2495, 0.0625], [0.2489, 0.7505, 0.9375], [0.5000, 0.0000, 0.5000], [0.5000, 0.0000, 0.0000], [0.0000, 0.5000, 0.5000], [0.0000, 0.5000, 0.0000], [0.4997, 0.5035, 0.7500], [0.9997, 0.9965, 0.7500], [0.0003, 0.0035, 0.2500], [0.5003, 0.4965, 0.2500]],
  "e_above_lowest_polymorph_ev_per_atom": 0.0000,
  "spacegroup": "Pnma (62)",
  "e_form_ev_per_atom": -0.40,
  "rho_g_cm3": 8.3
}


[6]
{
  "formula": "As2PdBrO",
  "functional": "PBE",
  "state": "relaxed",
  "lattice": [[-1.8857, 3.1786, -1.7608], [-3.6301, -1.7359, 0.7540], [-0.2311, 2.7364, 5.1872]],
  "species": ["As", "As", "O", "Pd", "Br"],
  "fractional_positions": [[0.0000, 0.5000, 0.0000], [0.5000, 0.0000, 0.0000], [0.0000, 0.0000, 0.0000], [0.5000, 0.5000, 0.5000], [0.0000, 0.0000, 0.5000]],
  "e_above_lowest_polymorph_ev_per_atom": 0.0000,
  "formation_energy_uncorrected_ev_per_atom": 0.345,
  "spacegroup": "P4/mmm (123)",
  "rho_g_cm3": 5.9
}


[7]
{
  "formula": "ScNbPd",
  "functional": "PBE",
  "state": "relaxed",
  "lattice": [[-4.5682, 0.9117, 1.2992], [0.0605, -2.6702, 2.0865], [4.4596, 3.4892, 4.3359]],
  "species": ["Pd", "Pd", "Nb", "Nb", "Sc", "Sc"],
  "fractional_positions": [[0.1652, 0.5000, 0.3201], [0.8368, 0.5000, 0.6532], [0.4892, 0.5000, 0.9606], [0.3415, 0.0000, 0.6650], [0.6723, 0.0000, 0.3308], [0.0005, 0.0000, 0.9836]],
  "e_above_lowest_polymorph_ev_per_atom": 0.1009,
  "spacegroup": "Pm (6)",
  "e_form_ev_per_atom": -0.36,
  "rho_g_cm3": 7.4
}


[8]
{
  "formula": "PmInGa2",
  "functional": "PBE",
  "state": "relaxed",
  "lattice": [[4.5460, 0.0000, 0.0000], [2.2730, 3.9370, 0.0000], [2.2730, 1.3123, 5.2362]],
  "species": ["Pm", "Ga", "Ga", "In"],
  "fractional_positions": [[0.5000, 0.5000, 0.5000], [0.7321, 0.7321, 0.8036], [0.2679, 0.2679, 0.1964], [0.0000, 0.0000, 0.0000]],
  "e_above_lowest_polymorph_ev_per_atom": 0.1185,
  "spacegroup": "R-3m (166)",
  "e_form_ev_per_atom": -0.37,
  "rho_g_cm3": 7.1
}


[9]
{
  "formula": "Th6GeBi3",
  "functional": "PBE",
  "state": "relaxed",
  "lattice": [[7.4496, 0.0000, -0.0143], [0.0000, 8.4592, 0.0000], [0.0896, 0.0000, 10.5752]],
  "species": ["Th", "Th", "Th", "Th", "Th", "Th", "Th", "Th", "Th", "Th", "Th", "Th", "Bi", "Bi", "Bi", "Bi", "Bi", "Bi", "Ge", "Ge"],
  "fractional_positions": [[0.6497, 0.1579, 0.9438], [0.1497, 0.3421, 0.4438], [0.6969, 0.4622, 0.2615], [0.6270, 0.1833, 0.5593], [0.8031, 0.9622, 0.2385], [0.3730, 0.8167, 0.4407], [0.8730, 0.6833, 0.9407], [0.3031, 0.5378, 0.7385], [0.1270, 0.3167, 0.0593], [0.1969, 0.0378, 0.7615], [0.3503, 0.8421, 0.0562], [0.8503, 0.6579, 0.5562], [0.4229, 0.1457, 0.2532], [0.0771, 0.6457, 0.2468], [0.9229, 0.3543, 0.7532], [0.0000, 0.0000, 0.5000], [0.5771, 0.8543, 0.7468], [0.5000, 0.5000, 0.0000], [0.5000, 0.5000, 0.5000], [0.0000, 0.0000, 0.0000]],
  "spacegroup": "P2_1/c (14)",
  "e_form_ev_per_atom": -0.35,
  "rho_g_cm3": 10.4
}


[10]
{
  "formula": "Hf2AsRh4",
  "functional": "PBE",
  "state": "relaxed",
  "lattice": [[-0.3573, 4.4038, 1.0073], [-3.5012, -0.9085, 2.7299], [2.2212, 0.9292, 6.9192]],
  "species": ["Rh", "Rh", "Rh", "Rh", "Hf", "Hf", "As"],
  "fractional_positions": [[0.1834, 0.1834, 0.6332], [0.5000, 0.0000, 0.0000], [0.0000, 0.5000, 0.0000], [0.8166, 0.8166, 0.3668], [0.3646, 0.3646, 0.2708], [0.6354, 0.6354, 0.7292], [0.0000, 0.0000, 0.0000]],
  "spacegroup": "I4/mmm (139)",
  "e_form_ev_per_atom": -0.01,
  "rho_g_cm3": 10.4
}


[11]
{
  "formula": "Pb2WBr",
  "functional": "PBE",
  "state": "relaxed",
  "lattice": [[-1.3441, 4.8531, 2.5477], [-1.3897, -1.1231, 5.3533], [4.5173, -1.4658, -3.0489]],
  "species": ["Br", "Pb", "Pb", "W"],
  "fractional_positions": [[0.7500, 0.2500, 0.5000], [0.5000, 0.5000, 0.0000], [0.0000, 0.0000, 0.0000], [0.2500, 0.7500, 0.5000]],
  "e_above_lowest_polymorph_ev_per_atom": 0.5530,
  "formation_energy_uncorrected_ev_per_atom": 1.032,
  "spacegroup": "I4/mmm (139)",
  "rho_g_cm3": 11.3
}


[12]
{
  "formula": "YZr2BeGe",
  "functional": "PBE",
  "state": "relaxed",
  "lattice": [[-4.6668, 1.1379, -1.8811], [1.4265, -1.8645, -4.6668], [-1.6880, -4.6827, 1.3549]],
  "species": ["Zr", "Zr", "Be", "Ge", "Y"],
  "fractional_positions": [[0.0000, 0.0000, 0.5000], [0.5000, 0.0000, 0.0000], [0.5000, 0.5000, 0.5000], [0.0000, 0.5000, 0.0000], [0.0000, 0.0000, 0.0000]],
  "spacegroup": "P4/mmm (123)",
  "e_form_ev_per_atom": 1.60,
  "rho_g_cm3": 4.2
}


It is found that the raw total energy values, taken in the order of the records, are -25.35; -42.02; -17.75; -7.54; -112.09; -19.40; -45.36; -15.02; -128.56; -54.05; -17.91; -23.93 eV/cell.
It is found that the N(E_F) values, taken in the order of the records, are 1.9; 15.1; 3.6; 4.9; 9.9; 3.9; 4.2; 1.3; 20.5; 4.3; 3.1; 2.8 states/eV/cell.